Entry 1:
# Al3GeBr

A relaxed structure of Al3GeBr (PBE-GGA, Alexandria).

a b c (Å): 5.1047 5.1047 5.1047
angles (deg): 90.00 90.00 90.00
Sites, in units of the cell vectors:
Al 0.0000 0.0000 0.5000
Al 0.0000 0.5000 0.0000
Al 0.5000 0.0000 0.0000
Ge 0.0000 0.0000 0.0000
Br 0.5000 0.5000 0.5000

Computed properties:
SG: Pm-3m
Total energy: -15.248 eV/cell
Uncorrected formation energy: 0.454 eV/atom
Offset from the most stable computed form: 0.000 eV/atom


Entry 2:
# Mg2FeOs

A relaxed structure of Mg2FeOs (PBE-GGA, Alexandria).

a b c (Å): 2.7098 2.7098 8.9214
angles (deg): 90.00 90.00 111.37
Sites, in units of the cell vectors:
Mg 0.0000 0.0000 0.2466
Mg 0.0000 0.0000 0.7534
Fe 0.5000 0.5000 0.0000
Os 0.5000 0.5000 0.5000

Computed properties:
Energy of formation from the pure elements: 6.93 kcal/mol of atoms
SG: Cmmm
Total energy: -21.680 eV/cell
Offset from the most stable computed form: 0.189 eV/atom


Entry 3:
# Zr2BPd

A relaxed structure of Zr2BPd (PBE-GGA, Alexandria).

a b c (Å): 5.7623 5.7623 5.7623
angles (deg): 108.80 108.80 110.82
Sites, in units of the cell vectors:
Zr 0.0763 0.1250 0.4513
Zr 0.3750 0.9237 0.0487
Zr 0.6737 0.6250 0.5487
Zr 0.8750 0.3263 0.9513
B 0.0000 0.0000 0.0000
B 0.7500 0.2500 0.5000
Pd 0.2500 0.7500 0.5000
Pd 0.5000 0.5000 0.0000

Computed properties:
Energy of formation from the pure elements: -1.23 kcal/mol of atoms
SG: I-42d
Total energy: -58.359 eV/cell


Entry 4:
# YAlIn2

A relaxed structure of YAlIn2 (PBE-GGA, Alexandria).

a b c (Å): 10.4005 10.4005 10.4005
angles (deg): 18.55 18.55 18.55
Sites, in units of the cell vectors:
Y 0.0000 0.0000 0.0000
Al 0.5000 0.5000 0.5000
In 0.2448 0.2448 0.2448
In 0.7552 0.7552 0.7552

Computed properties:
Energy of formation from the pure elements: -1.09 kcal/mol of atoms
SG: R-3m
Total energy: -15.873 eV/cell


Entry 5:
# LiCaBr

A relaxed structure of LiCaBr (PBE-GGA, Alexandria).

a b c (Å): 5.0108 5.0108 5.0108
angles (deg): 60.00 60.00 60.00
Sites, in units of the cell vectors:
Li 0.0000 0.0000 0.0000
Ca 0.5000 0.5000 0.5000
Br 0.7500 0.7500 0.7500

Computed properties:
SG: F-43m
Total energy: -7.237 eV/cell
Uncorrected formation energy: -0.549 eV/atom
Offset from the most stable computed form: 0.328 eV/atom


Entry 6:
# Np2PIr

A relaxed structure of Np2PIr (PBE-GGA, Alexandria).

a b c (Å): 7.0808 7.0808 7.0808
angles (deg): 32.01 32.01 32.01
Sites, in units of the cell vectors:
Np 0.2483 0.2483 0.2483
Np 0.7517 0.7517 0.7517
P 0.0000 0.0000 0.0000
Ir 0.5000 0.5000 0.5000

Computed properties:
Energy of formation from the pure elements: -10.78 kcal/mol of atoms
SG: R-3m
Total energy: -42.023 eV/cell


Entry 7:
# PrMg6Ag4

A relaxed structure of PrMg6Ag4 (PBE-GGA, Alexandria).

a b c (Å): 7.9571 7.9571 4.3742
angles (deg): 90.00 90.00 120.00
Sites, in units of the cell vectors:
Pr 0.0000 0.0000 0.0000
Mg 0.2006 0.4013 0.5000
Mg 0.2006 0.7994 0.5000
Mg 0.5335 0.0670 0.0000
Mg 0.5335 0.4665 0.0000
Mg 0.5987 0.7994 0.5000
Mg 0.9330 0.4665 0.0000
Ag 0.3333 0.6667 0.0000
Ag 0.4012 0.2006 0.5000
Ag 0.7994 0.2006 0.5000
Ag 0.7994 0.5988 0.5000

Computed properties:
Energy of formation from the pure elements: -4.65 kcal/mol of atoms
SG: P-6m2
Total energy: -27.969 eV/cell


Entry 8:
# BaY2Sc

A relaxed structure of BaY2Sc (PBE-GGA, Alexandria).

a b c (Å): 6.2734 6.2734 3.6376
angles (deg): 90.00 90.00 110.05
Sites, in units of the cell vectors:
Ba 0.0000 0.0000 0.0000
Y 0.0000 0.5000 0.5000
Y 0.5000 0.0000 0.5000
Sc 0.5000 0.5000 0.0000

Computed properties:
Energy of formation from the pure elements: 6.56 kcal/mol of atoms
SG: Cmmm
Total energy: -20.045 eV/cell
Offset from the most stable computed form: 0.132 eV/atom